Density functional theory data (PBE-GGA) for an optimized crystal structure of Al2TlHg.

Formation energy from the elements   22.4 kJ per mole of atoms
Space group   Pmmm, No. 47
Size of the total moment   0.00 μB/cell
DOS at the Fermi energy   1.7 states/eV per cell

Lattice parameters (Å, degrees): 3.4296 4.6166 5.9499 90.00 90.00 90.00
Closest atoms and distances in Å follow each position.
Element x y z (fractional)
Al 0.0000 0.0000 0.2392  2 Hg 2.78, 2 Al 2.85-3.10
Al 0.0000 0.0000 0.7608  2 Hg 2.78, 2 Al 2.85-3.10
Tl 0.5000 0.5000 0.0000  8 Al 3.21, 2 Tl 3.43, 4 Hg 3.43
Hg 0.0000 0.5000 0.5000  4 Al 2.78

Density functional theory data (PBE-GGA) for an optimized crystal structure of LiGdNiGe.

Formation energy from the elements   -51.0 kJ per mole of atoms
Space group   F-43m, No. 216
Size of the total moment   7.00 μB/cell

Lattice parameters (Å, degrees): 4.4943 4.4943 4.4943 60.00 60.00 60.00
Closest atoms and distances in Å follow each position.
Element x y z (fractional)
Li 0.0000 0.0000 0.0000  4 Ge 2.75, 4 Gd 2.75
Gd 0.2500 0.2500 0.2500  4 Li 2.75, 4 Ni 2.75
Ni 0.5000 0.5000 0.5000  4 Ge 2.75, 4 Gd 2.75
Ge 0.7500 0.7500 0.7500  4 Li 2.75, 4 Ni 2.75

Density functional theory data (PBE-GGA) for an optimized crystal structure of ReSnTeN2.

Relative energy among the computed polymorphs   1373 meV per atom
Space group   P4/mmm, No. 123
ΔE_f (raw)   2.00 eV/atom
Size of the total moment   5.82 μB/cell
DOS at the Fermi energy   4.5 states/eV per cell

Lattice parameters (Å, degrees): 4.0683 4.0683 6.3980 90.00 90.00 90.00
Closest atoms and distances in Å follow each position.
Element x y z (fractional)
Re 0.0000 0.0000 0.0000  4 Te 2.88
Sn 0.5000 0.5000 0.5000  4 N 2.03
Te 0.5000 0.5000 0.0000  4 Re 2.88, 2 Sn 3.20
N 0.0000 0.5000 0.5000  2 Sn 2.03
N 0.5000 0.0000 0.5000  2 Sn 2.03

Density functional theory data (PBE-GGA) for an optimized crystal structure of SmDy2Ho12.

Formation energy from the elements   11.1 kJ per mole of atoms
Space group   P2/m, No. 10
Size of the total moment   0.00 μB/cell
DOS at the Fermi energy   23.6 states/eV per cell

Lattice parameters (Å, degrees): 3.5391 5.5475 24.2259 90.00 94.14 90.00
Closest atoms and distances in Å follow each position.
Element x y z (fractional)
Sm 0.0000 0.0000 0.0000  2 Ho 3.33, 2 Sm 3.54
Dy 0.3669 0.0000 0.7279  2 Dy 3.54, 10 Ho 3.58-3.70
Dy 0.6331 0.0000 0.2721  2 Dy 3.54, 10 Ho 3.58-3.70
Ho 0.0662 0.0000 0.1380  4 Ho 3.18-3.54, 1 Sm 3.33
Ho 0.0971 0.5000 0.2019  3 Ho 3.11-3.18
Ho 0.1639 0.5000 0.3306  3 Ho 3.11-3.29
Ho 0.2152 0.0000 0.4259  8 Ho 3.32-3.61
Ho 0.2758 0.5000 0.5550  10 Ho 3.19-3.54
Ho 0.4650 0.5000 0.9252  9 Ho 3.54-3.63, 4 Sm 3.75-3.76
Ho 0.5350 0.5000 0.0748  9 Ho 3.54-3.63, 4 Sm 3.75-3.76
Ho 0.7242 0.5000 0.4450  10 Ho 3.19-3.54
Ho 0.7848 0.0000 0.5741  8 Ho 3.32-3.61
Ho 0.8361 0.5000 0.6694  3 Ho 3.11-3.29
Ho 0.9029 0.5000 0.7981  3 Ho 3.11-3.18
Ho 0.9338 0.0000 0.8620  4 Ho 3.18-3.54, 1 Sm 3.33

Density functional theory data (PBE-GGA) for an optimized crystal structure of Al2TlRu.

Formation energy from the elements   17.6 kJ per mole of atoms
Relative energy among the computed polymorphs   419 meV per atom
Space group   R3m, No. 160
Size of the total moment   0.34 μB/cell
DOS at the Fermi energy   3.4 states/eV per cell

Lattice parameters (Å, degrees): 9.0140 9.0140 9.0140 19.80 19.80 19.80
Closest atoms and distances in Å follow each position.
Element x y z (fractional)
Al 0.0000 0.0000 0.0000  9 Al 2.87-3.10, 3 Tl 3.14
Al 0.2487 0.2487 0.2487  3 Ru 2.50
Tl 0.7642 0.7642 0.7642  3 Ru 2.88, 6 Tl 3.10, 3 Al 3.14
Ru 0.5160 0.5160 0.5160  3 Al 2.50

Density functional theory data (PBE-GGA) for an optimized crystal structure of U4TlSe6.

Relative energy among the computed polymorphs   0 meV per atom
Space group   Cmcm, No. 63
ΔE_f (raw)   -0.97 eV/atom
Size of the total moment   21.48 μB/cell
DOS at the Fermi energy   47.9 states/eV per cell

Lattice parameters (Å, degrees): 7.1494 7.1494 21.2473 90.00 90.00 147.16
Closest atoms and distances in Å follow each position.
Element x y z (fractional)
U 0.0900 0.9100 0.6235  6 Se 2.79-2.90
U 0.0900 0.9100 0.8765  6 Se 2.79-2.90
U 0.3577 0.6423 0.5356  6 Se 2.86-2.96
U 0.3577 0.6423 0.9644  6 Se 2.86-2.96
U 0.6423 0.3577 0.0356  6 Se 2.86-2.96
U 0.6423 0.3577 0.4644  6 Se 2.86-2.96
U 0.9100 0.0900 0.1235  6 Se 2.79-2.90
U 0.9100 0.0900 0.3765  6 Se 2.79-2.90
Tl 0.1756 0.8244 0.2500  6 Se 3.18-3.37
Tl 0.8244 0.1756 0.7500  6 Se 3.18-3.37
Se 0.0000 0.0000 0.0000  6 U 2.90-2.91
Se 0.0000 0.0000 0.5000  6 U 2.90-2.91
Se 0.1453 0.8547 0.7500  2 U 2.79
Se 0.2672 0.7328 0.0907  5 U 2.90-2.96
Se 0.2672 0.7328 0.4093  5 U 2.90-2.96
Se 0.4540 0.5460 0.6548  3 U 2.83-2.86
Se 0.4540 0.5460 0.8452  3 U 2.83-2.86
Se 0.5460 0.4540 0.1548  3 U 2.83-2.86
Se 0.5460 0.4540 0.3452  3 U 2.83-2.86
Se 0.7328 0.2672 0.5907  5 U 2.90-2.96
Se 0.7328 0.2672 0.9093  5 U 2.90-2.96
Se 0.8547 0.1453 0.2500  2 U 2.79

Density functional theory data (PBE-GGA) for an optimized crystal structure of PrTl2Au.

Formation energy from the elements   -24.3 kJ per mole of atoms
Relative energy among the computed polymorphs   189 meV per atom
Space group   Fm-3m, No. 225
Size of the total moment   0.00 μB/cell
DOS at the Fermi energy   1.7 states/eV per cell

Lattice parameters (Å, degrees): 5.2621 5.2621 5.2621 60.00 60.00 60.00
Closest atoms and distances in Å follow each position.
Element x y z (fractional)
Pr 0.0000 0.0000 0.0000  8 Tl 3.22
Tl 0.2500 0.2500 0.2500  4 Au 3.22, 4 Pr 3.22
Tl 0.7500 0.7500 0.7500  4 Au 3.22, 4 Pr 3.22
Au 0.5000 0.5000 0.5000  8 Tl 3.22

Density functional theory data (PBE-GGA) for an optimized crystal structure of Ga3SCl.

Relative energy among the computed polymorphs   187 meV per atom
Space group   Pm-3m, No. 221
ΔE_f (raw)   0.24 eV/atom
Size of the total moment   0.00 μB/cell
DOS at the Fermi energy   0.0 states/eV per cell

Lattice parameters (Å, degrees): 5.3694 5.3694 5.3694 90.00 90.00 90.00
Closest atoms and distances in Å follow each position.
Element x y z (fractional)
Ga 0.0000 0.0000 0.5000  2 Cl 2.68
Ga 0.0000 0.5000 0.0000  2 Cl 2.68
Ga 0.5000 0.0000 0.0000  2 Cl 2.68
S 0.5000 0.5000 0.5000  12 Ga 3.80
Cl 0.0000 0.0000 0.0000  6 Ga 2.68

Question: What is the formula in the seventh record?
Answer: PrTl2Au

Question: Look up the size of the total moment of the fourth one.
Answer: 0.00 μB/cell